Here is crystalline Tl2CdC at its relaxed geometry from the Alexandria database. Energies are from PBE-GGA.

Properties
E_form (meV/atom): 1389
Uncorrected energy (eV per cell): -9.31
Energy above the lowest structure with this stoichiometry (eV/atom): 0.359
Spin magnetization (μB per formula unit): 0.10
Volume (Å³ per atom): 22.6
Symmetry: Fm-3m

Lattice parameters (Å, degrees): 5.0395 5.0395 5.0395 60.00 60.00 60.00
With the nearest neighbours (Å) after each atom.
Positions (direct):
Tl1 0.2500 0.2500 0.2500  4 C 3.09, 4 Cd 3.09
Tl2 0.7500 0.7500 0.7500  4 C 3.09, 4 Cd 3.09
Cd1 0.0000 0.0000 0.0000  8 Tl 3.09
C1 0.5000 0.5000 0.5000  8 Tl 3.09